HfTl2Se3 | GGA-PBE | relaxed

Values from the calculation:
final energy = -5.072 eV/atom
total moment = 0.000 μB per atom
symmetry = Pnma (62)

Geometry as POSCAR:
```
HfTl2Se3
1.0
15.601 0.000 0.000
0.000 3.891 0.000
0.000 0.000 11.874
Tl Se Hf
8 12 4
Direct
0.222 0.250 0.864
0.916 0.250 0.872
0.722 0.250 0.636
0.084 0.750 0.128
0.278 0.750 0.364
0.778 0.750 0.136
0.584 0.750 0.372
0.416 0.250 0.628
0.187 0.250 0.603
0.313 0.750 0.103
0.448 0.250 0.889
0.052 0.750 0.389
0.066 0.750 0.844
0.813 0.750 0.397
0.552 0.750 0.111
0.687 0.250 0.897
0.934 0.250 0.156
0.948 0.250 0.611
0.434 0.250 0.344
0.566 0.750 0.656
0.430 0.250 0.124
0.570 0.750 0.876
0.070 0.750 0.624
0.930 0.250 0.376
```

Zr4AgAu3 | GGA-PBE | relaxed

Values from the calculation:
total moment = 0.000 μB per atom
symmetry = Pm (6)
energy of formation = -0.443 eV/atom

Geometry as POSCAR:
```
Zr4AgAu3
1.0
5.007 0.000 0.000
0.000 5.009 0.000
-0.001 0.000 6.461
Zr Au Ag
4 3 1
Direct
0.000 0.000 0.355
0.500 0.500 0.355
0.500 0.000 0.645
0.000 0.500 0.652
0.001 0.000 0.874
0.499 0.500 0.874
0.999 0.500 0.128
0.501 0.000 0.118
```

Ba2AgAs2Pd | GGA-PBE | relaxed

Values from the calculation:
final energy = -4.386 eV/atom
symmetry = P-6m2 (187)

Geometry as POSCAR:
```
Ba2AgAs2Pd
1.0
-2.484 -0.088 -3.743
1.430 -3.843 1.838
-7.823 -0.424 5.202
Ba Ag As Pd
2 1 2 1
Direct
0.333 0.667 0.259
0.333 0.667 0.741
0.000 0.000 0.000
0.000 0.000 0.500
0.667 0.333 0.000
0.667 0.333 0.500
```

AgBIr2 | GGA-PBE | relaxed

Values from the calculation:
final energy = -5.776 eV/atom
total moment = 0.013 μB per atom
symmetry = F-43m (216)

Geometry as POSCAR:
```
AgBIr2
1.0
0.000 3.028 3.028
3.028 0.000 3.028
3.028 3.028 0.000
Ir Ag B
2 1 1
Direct
0.000 0.000 0.000
0.750 0.750 0.750
0.250 0.250 0.250
0.500 0.500 0.500
```

ScNb2Hg | GGA-PBE | relaxed

Values from the calculation:
total moment = 0.003 μB per atom
symmetry = F-43m (216)
energy of formation = 0.117 eV/atom

Geometry as POSCAR:
```
ScNb2Hg
1.0
-2.766 -1.066 3.746
-1.489 3.465 2.933
-4.597 1.299 0.022
Nb Hg Sc
2 1 1
Direct
0.000 0.000 0.000
0.750 0.750 0.750
0.250 0.250 0.250
0.500 0.500 0.500
```

Ac2Ge5Pd3 | GGA-PBE | relaxed

Values from the calculation:
final energy = -5.453 eV/atom
total moment = 0.000 μB per atom
symmetry = Ibam (72)

Geometry as POSCAR:
```
Ac2Ge5Pd3
1.0
-3.209 -3.946 7.148
0.717 8.180 -3.089
-6.253 -3.973 -4.699
Ge Ac Pd
10 4 6
Direct
0.610 0.645 0.256
0.483 0.250 0.233
0.110 0.855 0.965
0.890 0.145 0.035
0.017 0.250 0.767
0.517 0.750 0.767
0.250 0.750 0.500
0.983 0.750 0.233
0.390 0.355 0.744
0.750 0.250 0.500
0.872 0.736 0.608
0.628 0.236 0.864
0.372 0.764 0.136
0.128 0.264 0.392
0.137 0.613 0.751
0.863 0.387 0.249
0.750 0.750 0.000
0.250 0.250 0.000
0.363 0.113 0.476
0.637 0.887 0.524
```

TmAgPbS3 | GGA-PBE | relaxed

Values from the calculation:
total moment = 0.000 μB per atom
symmetry = C2/m (12)
ΔE to the lowest computed polymorph = 0.0000 eV/atom

Geometry as POSCAR:
```
TmAgPbS3
1.0
-6.625 -2.921 5.100
-5.215 -6.225 3.532
6.479 0.256 5.285
Pb S Tm Ag
2 6 2 2
Direct
0.866 0.866 0.925
0.134 0.134 0.075
0.326 0.326 0.635
0.682 0.682 0.816
0.500 0.500 0.000
0.674 0.674 0.365
0.000 0.000 0.500
0.318 0.318 0.184
0.164 0.164 0.586
0.836 0.836 0.414
0.526 0.526 0.714
0.474 0.474 0.286
```

FeAg2 | GGA-PBE | relaxed

Values from the calculation:
total moment = 0.980 μB per atom
symmetry = P4_2/mnm (136)
energy of formation = 0.855 eV/atom

Geometry as POSCAR:
```
FeAg2
1.0
6.321 0.000 0.000
0.000 6.321 0.000
0.000 0.000 2.834
Fe Ag
2 4
Direct
0.000 0.000 0.000
0.500 0.500 0.500
0.231 0.769 0.500
0.769 0.231 0.500
0.731 0.731 0.000
0.269 0.269 0.000
```

LiFeGeBi | GGA-PBE | relaxed

Values from the calculation:
total moment = 0.488 μB per atom
symmetry = F-43m (216)
ΔE to the lowest computed polymorph = 0.0000 eV/atom

Geometry as POSCAR:
```
LiFeGeBi
1.0
0.000 3.286 3.286
3.286 0.000 3.286
3.286 3.286 0.000
Fe Ge Bi Li
1 1 1 1
Direct
0.250 0.250 0.250
0.500 0.500 0.500
0.000 0.000 0.000
0.750 0.750 0.750
```

ZnCuMo | GGA-PBE | relaxed

Values from the calculation:
total moment = 0.170 μB per atom
symmetry = F-43m (216)
energy of formation = 0.973 eV/atom
ΔE to the lowest computed polymorph = 0.3348 eV/atom

Geometry as POSCAR:
```
ZnCuMo
1.0
2.857 1.071 2.814
-1.081 2.294 3.286
-0.075 -1.702 3.785
Mo Cu Zn
1 1 1
Direct
0.000 0.000 0.000
0.250 0.250 0.250
0.750 0.750 0.750
```

NaHfAgS3 | GGA-PBE | relaxed

Values from the calculation:
total moment = 0.000 μB per atom
symmetry = P2_1/m (11)
ΔE to the lowest computed polymorph = 0.0034 eV/atom

Geometry as POSCAR:
```
NaHfAgS3
1.0
7.501 0.000 0.000
0.000 3.759 0.000
-2.432 0.000 9.039
S Ag Hf Na
6 2 2 2
Direct
0.097 0.250 0.876
0.288 0.750 0.566
0.903 0.750 0.124
0.712 0.250 0.434
0.563 0.250 0.867
0.437 0.750 0.133
0.065 0.250 0.609
0.935 0.750 0.391
0.686 0.250 0.158
0.314 0.750 0.842
0.723 0.750 0.691
0.277 0.250 0.309
```

GaCuSeS | GGA-PBE | relaxed

Values from the calculation:
symmetry = Cc (9)
ΔE to the lowest computed polymorph = 0.0000 eV/atom

Geometry as POSCAR:
```
GaCuSeS
1.0
3.898 -3.898 0.000
3.898 3.898 0.000
-3.868 0.000 5.440
S Cu Se Ga
2 2 2 2
Direct
0.623 0.371 0.250
0.371 0.623 0.750
0.999 0.273 0.500
0.273 0.999 0.000
0.879 0.123 0.750
0.123 0.879 0.250
0.499 0.733 0.500
0.733 0.499 0.000
```